No. 1
A plane-wave DFT calculation with PBE was carried out for a relaxed Sm2AlPt5 crystal.

Raw total energy (eV/cell): -204.51
Size of the total moment (μB/atom): 0.000

```
data_Sm2AlPt5
_chemical_formula_sum 'Sm8 Al4 Pt20'
_cell_length_a 8.7992
_cell_length_b 8.8221
_cell_length_c 8.1472
_cell_angle_alpha 90.00
_cell_angle_beta 90.00
_cell_angle_gamma 90.00
_space_group_name_H-M_alt 'F m m 2'
_space_group_IT_number 42
_space_group_name_Hall 'F 2 -2'
loop_
_atom_site_label
_atom_site_type_symbol
_atom_site_fract_x
_atom_site_fract_y
_atom_site_fract_z
Sm1 Sm 0.2500 0.2500 0.0000
Al1 Al 0.0000 0.0000 0.3017
Pt1 Pt 0.0000 0.0000 0.9918
Pt2 Pt 0.0000 0.2268 0.7456
Pt3 Pt 0.2262 0.0000 0.7451
```

No. 2
A plane-wave DFT calculation with PBE was carried out for a relaxed Ga12Si3Ge5 crystal.

Raw total energy (eV/cell): -576.30
Formation energy (no corrections) (eV/f.u.): 3.6
Size of the total moment (μB/atom): 0.000

```
data_Ga12Si3Ge5
_chemical_formula_sum 'Ga96 Si24 Ge40'
_cell_length_a 15.0697
_cell_length_b 15.0697
_cell_length_c 15.0697
_cell_angle_alpha 90.00
_cell_angle_beta 90.00
_cell_angle_gamma 90.00
_space_group_name_H-M_alt 'I a -3 d'
_space_group_IT_number 230
_space_group_name_Hall '-I 4bd 2c 3'
loop_
_atom_site_label
_atom_site_type_symbol
_atom_site_fract_x
_atom_site_fract_y
_atom_site_fract_z
Ga1 Ga 0.0177 0.0810 0.6530
Si1 Si 0.0000 0.2500 0.1250
Ge1 Ge 0.0000 0.0000 0.0000
Ge2 Ge 0.0000 0.2500 0.3750
```

No. 3
A plane-wave DFT calculation with PBE was carried out for a relaxed AgSe2N crystal.

Raw total energy (eV/cell): -59.81
Formation energy (no corrections) (eV/f.u.): 3.2
Size of the total moment (μB/atom): 0.000

```
data_AgSe2N
_chemical_formula_sum 'Ag4 Se8 N4'
_cell_length_a 5.4698
_cell_length_b 5.4698
_cell_length_c 11.1479
_cell_angle_alpha 90.00
_cell_angle_beta 90.00
_cell_angle_gamma 90.00
_space_group_name_H-M_alt 'I -4 2 d'
_space_group_IT_number 122
_space_group_name_Hall 'I -4 2bw'
loop_
_atom_site_label
_atom_site_type_symbol
_atom_site_fract_x
_atom_site_fract_y
_atom_site_fract_z
Ag1 Ag 0.0000 0.0000 0.0000
Se1 Se 0.1725 0.2500 0.6250
N1 N 0.0000 0.0000 0.5000
```

No. 4
A plane-wave DFT calculation with PBE was carried out for a relaxed Tl12InPb3 crystal.

Raw total energy (eV/cell): -42.01
Size of the total moment (μB/atom): 0.000

```
data_Tl12InPb3
_chemical_formula_sum 'Tl12 In1 Pb3'
_cell_length_a 5.4196
_cell_length_b 5.4196
_cell_length_c 16.6752
_cell_angle_alpha 90.00
_cell_angle_beta 90.00
_cell_angle_gamma 90.00
_space_group_name_H-M_alt 'P 4/m m m'
_space_group_IT_number 123
_space_group_name_Hall '-P 4 2'
loop_
_atom_site_label
_atom_site_type_symbol
_atom_site_fract_x
_atom_site_fract_y
_atom_site_fract_z
Tl1 Tl 0.0000 0.0000 0.0000
Tl2 Tl 0.0000 0.0000 0.2458
Tl3 Tl 0.0000 0.0000 0.5000
Tl4 Tl 0.0000 0.5000 0.1204
Tl5 Tl 0.0000 0.5000 0.3739
In1 In 0.5000 0.5000 0.0000
Pb1 Pb 0.5000 0.5000 0.2474
Pb2 Pb 0.5000 0.5000 0.5000
```